Record 1
# PBE DyHo2CuSe5, optimized geometry
# uncorrected formation energy: -1.516 eV/atom
data_DyHo2CuSe5
_symmetry_space_group_name_H-M 'P 1'
_symmetry_Int_Tables_number 1
_cell_length_a 8.970
_cell_length_b 8.970
_cell_length_c 11.952
_cell_angle_alpha 90.00
_cell_angle_beta 90.00
_cell_angle_gamma 154.41
loop_
_symmetry_equiv_pos_as_xyz
'x,y,z'
loop_
_atom_site_label
_atom_site_type_symbol
_atom_site_fract_x
_atom_site_fract_y
_atom_site_fract_z
Dy1 Dy 0.193 0.807 0.500
Dy2 Dy 0.807 0.193 0.000
Ho1 Ho 0.107 0.893 0.174
Ho2 Ho 0.121 0.879 0.796
Ho3 Ho 0.879 0.121 0.296
Ho4 Ho 0.893 0.107 0.674
Cu1 Cu 0.436 0.564 0.947
Cu2 Cu 0.564 0.436 0.447
Se1 Se 0.041 0.959 0.557
Se2 Se 0.289 0.711 0.169
Se3 Se 0.317 0.683 0.830
Se4 Se 0.358 0.642 0.491
Se5 Se 0.498 0.502 0.271
Se6 Se 0.502 0.498 0.771
Se7 Se 0.642 0.358 0.991
Se8 Se 0.683 0.317 0.330
Se9 Se 0.711 0.289 0.669
Se10 Se 0.959 0.041 0.057

=====

Record 2
# PBE NdPa2AlC4, optimized geometry
# formation energy from the elements: -259 meV/atom
data_NdPa2AlC4
_symmetry_space_group_name_H-M 'P 1'
_symmetry_Int_Tables_number 1
_cell_length_a 6.203
_cell_length_b 6.203
_cell_length_c 11.908
_cell_angle_alpha 90.00
_cell_angle_beta 90.00
_cell_angle_gamma 145.84
loop_
_symmetry_equiv_pos_as_xyz
'x,y,z'
loop_
_atom_site_label
_atom_site_type_symbol
_atom_site_fract_x
_atom_site_fract_y
_atom_site_fract_z
Nd1 Nd 0.107 0.893 0.750
Nd2 Nd 0.893 0.107 0.250
Pa1 Pa 0.369 0.631 0.551
Pa2 Pa 0.369 0.631 0.949
Pa3 Pa 0.631 0.369 0.051
Pa4 Pa 0.631 0.369 0.449
Al1 Al 0.157 0.843 0.250
Al2 Al 0.843 0.157 0.750
C1 C 0.000 0.000 0.000
C2 C 0.000 0.000 0.500
C3 C 0.256 0.744 0.113
C4 C 0.256 0.744 0.387
C5 C 0.434 0.566 0.750
C6 C 0.566 0.434 0.250
C7 C 0.744 0.256 0.613
C8 C 0.744 0.256 0.887

=====

Record 3
# PBE RbCu2WCl8, optimized geometry
# uncorrected formation energy: -0.810 eV/atom
data_RbCu2WCl8
_symmetry_space_group_name_H-M 'P 1'
_symmetry_Int_Tables_number 1
_cell_length_a 11.714
_cell_length_b 11.714
_cell_length_c 11.714
_cell_angle_alpha 30.02
_cell_angle_beta 30.02
_cell_angle_gamma 30.02
loop_
_symmetry_equiv_pos_as_xyz
'x,y,z'
loop_
_atom_site_label
_atom_site_type_symbol
_atom_site_fract_x
_atom_site_fract_y
_atom_site_fract_z
Rb1 Rb 0.000 0.000 0.000
Cu1 Cu 0.240 0.240 0.240
Cu2 Cu 0.760 0.760 0.760
W1 W 0.500 0.500 0.500
Cl1 Cl 0.156 0.450 0.758
Cl2 Cl 0.242 0.550 0.844
Cl3 Cl 0.305 0.305 0.305
Cl4 Cl 0.450 0.758 0.156
Cl5 Cl 0.550 0.844 0.242
Cl6 Cl 0.695 0.695 0.695
Cl7 Cl 0.758 0.156 0.450
Cl8 Cl 0.844 0.242 0.550

=====

| no. | total DFT energy (no corrections) (eV/cell) | DOS(E_F) (states/eV/cell) |
| --- | --- | --- |
| 1 | -97.850 | 0.21 |
| 2 | -132.941 | 4.51 |
| 3 | -46.607 | 0.99 |